Crystalline Mg3Pb7 at its relaxed geometry. Source: Alexandria, functional PBE-GGA.

Calculated values
Its space group is No. 186. The calculation puts the total energy at -3.043 eV/atom. The calculation puts the formation energy at 31 meV per atom.

Cell lengths 10.5611, 10.5611, 6.0239 Å; angles 90.00, 90.00, 120.00 degrees
With the nearest neighbours (Å) after each atom.
Positions (direct):
Mg1 0.1918 0.3837 0.0000  6 Pb 3.00-3.27
Mg2 0.1918 0.8082 0.0000  6 Pb 3.00-3.27
Mg3 0.3837 0.1918 0.5000  6 Pb 3.00-3.27
Mg4 0.6163 0.8082 0.0000  6 Pb 3.00-3.27
Mg5 0.8082 0.1918 0.5000  6 Pb 3.00-3.27
Mg6 0.8082 0.6163 0.5000  6 Pb 3.00-3.27
Pb1 0.0879 0.5440 0.3411  4 Mg 3.19-3.53, 3 Pb 3.32-3.41
Pb2 0.1135 0.2271 0.5126  4 Mg 3.06-3.40
Pb3 0.1135 0.8865 0.5126  4 Mg 3.06-3.40
Pb4 0.2271 0.1135 0.0126  4 Mg 3.06-3.40
Pb5 0.3333 0.6667 0.7483  3 Mg 3.00, 3 Pb 3.32
Pb6 0.4560 0.5440 0.3411  4 Mg 3.19-3.53, 3 Pb 3.32-3.41
Pb7 0.4560 0.9121 0.3411  4 Mg 3.19-3.53, 3 Pb 3.32-3.41
Pb8 0.5440 0.0879 0.8411  4 Mg 3.19-3.53, 3 Pb 3.32-3.41
Pb9 0.5440 0.4560 0.8411  4 Mg 3.19-3.53, 3 Pb 3.32-3.41
Pb10 0.6667 0.3333 0.2483  3 Mg 3.00, 3 Pb 3.32
Pb11 0.7729 0.8865 0.5126  4 Mg 3.06-3.40
Pb12 0.8865 0.1135 0.0126  4 Mg 3.06-3.40
Pb13 0.8865 0.7729 0.0126  4 Mg 3.06-3.40
Pb14 0.9121 0.4560 0.8411  4 Mg 3.19-3.53, 3 Pb 3.32-3.41